Density functional theory data (PBE) for an optimized crystal structure of Ca2TlGe. Values from VASP.

Output
Spin magnetization   0.0 Bohr magnetons per cell
Space group   I-42d (122)

```
&SYSTEM
  ibrav = 0, nat = 8, ntyp = 3
/
ATOMIC_SPECIES
Tl 204.38 Tl.upf
Ge 72.64 Ge.upf
Ca 40.08 Ca.upf
CELL_PARAMETERS angstrom
-4.820 -1.089 -1.069
-0.855 -1.004 4.880
-5.367 8.633 3.455
ATOMIC_POSITIONS crystal
Tl 0.750 0.250 0.500
Ge 0.250 0.750 0.500
Tl 0.000 0.000 0.000
Ca 0.143 0.625 0.250
Ca 0.607 0.125 0.250
Ca 0.875 0.857 0.750
Ge 0.500 0.500 0.000
Ca 0.375 0.393 0.750
```

=====

Density functional theory data (PBE) for an optimized crystal structure of CaTl2Ge. Values from VASP.

Output
Spin magnetization   0.0 Bohr magnetons per cell
Space group   P4/mmm (123)
Polymorph energy (0 for the lowest one)   0.000 eV per formula unit

```
&SYSTEM
  ibrav = 0, nat = 4, ntyp = 3
/
ATOMIC_SPECIES
Tl 204.38 Tl.upf
Ge 72.64 Ge.upf
Ca 40.08 Ca.upf
CELL_PARAMETERS angstrom
4.881 0.000 0.000
0.000 4.623 0.000
0.000 0.000 4.623
ATOMIC_POSITIONS crystal
Tl 0.000 0.500 0.000
Ge 0.500 0.500 0.500
Tl 0.000 0.000 0.500
Ca 0.500 0.000 0.000
```

=====

Density functional theory data (PBE) for an optimized crystal structure of CaTl2Ge. Values from VASP.

Output
Spin magnetization   0.0 Bohr magnetons per cell
Space group   Fm-3m (225)
Polymorph energy (0 for the lowest one)   0.262 eV per formula unit

```
&SYSTEM
  ibrav = 0, nat = 4, ntyp = 3
/
ATOMIC_SPECIES
Tl 204.38 Tl.upf
Ge 72.64 Ge.upf
Ca 40.08 Ca.upf
CELL_PARAMETERS angstrom
0.000 3.786 3.786
3.786 0.000 3.786
3.786 3.786 0.000
ATOMIC_POSITIONS crystal
Tl 0.250 0.250 0.250
Tl 0.750 0.750 0.750
Ge 0.500 0.500 0.500
Ca 0.000 0.000 0.000
```

=====

Density functional theory data (PBE) for an optimized crystal structure of CaTlGe. Values from VASP.

Output
Spin magnetization   0.0 Bohr magnetons per cell
Space group   P3m1 (156)
Polymorph energy (0 for the lowest one)   0.389 eV per formula unit

```
&SYSTEM
  ibrav = 0, nat = 3, ntyp = 3
/
ATOMIC_SPECIES
Tl 204.38 Tl.upf
Ca 40.08 Ca.upf
Ge 72.64 Ge.upf
CELL_PARAMETERS angstrom
-2.801 0.626 3.426
-2.056 -3.976 -0.955
3.551 0.105 2.884
ATOMIC_POSITIONS crystal
Tl 0.268 0.667 0.333
Ca 0.686 0.333 0.667
Ge 0.046 0.000 0.000
```

=====

Density functional theory data (PBE) for an optimized crystal structure of CaTl2Ge. Values from VASP.

Output
Spin magnetization   0.0 Bohr magnetons per cell
Space group   R-3m (166)
Polymorph energy (0 for the lowest one)   1.512 eV per formula unit

```
&SYSTEM
  ibrav = 0, nat = 4, ntyp = 3
/
ATOMIC_SPECIES
Ca 40.08 Ca.upf
Tl 204.38 Tl.upf
Ge 72.64 Ge.upf
CELL_PARAMETERS angstrom
3.606 0.000 0.000
1.803 3.123 0.000
1.803 1.041 11.020
ATOMIC_POSITIONS crystal
Ca 0.000 0.000 0.000
Tl 0.903 0.903 0.290
Tl 0.097 0.097 0.710
Ge 0.500 0.500 0.500
```

=====

Density functional theory data (PBE) for an optimized crystal structure of CaTlGe3. Values from VASP.

Output
Spin magnetization   0.0 Bohr magnetons per cell
Space group   Pm-3m (221)
Polymorph energy (0 for the lowest one)   0.000 eV per formula unit

```
&SYSTEM
  ibrav = 0, nat = 5, ntyp = 3
/
ATOMIC_SPECIES
Ge 72.64 Ge.upf
Ca 40.08 Ca.upf
Tl 204.38 Tl.upf
CELL_PARAMETERS angstrom
5.360 0.000 0.000
0.000 5.360 0.000
0.000 0.000 5.360
ATOMIC_POSITIONS crystal
Ge 0.500 0.000 0.000
Ge 0.000 0.500 0.000
Ge 0.000 0.000 0.500
Ca 0.500 0.500 0.500
Tl 0.000 0.000 0.000
```

=====

One value per record, in order, for energy of formation from the pure elements: -0.0104 -0.1934 -0.1280 -0.2779 0.1845 0.5770 eV per atom.